## ScNiAuN2 (PBE)

Data for a relaxed ScNiAuN2 crystal.

Properties
Its final energy is -26.37 eV per cell. As for the volume: 17.5 Å³/atom. The calculation puts the energy relative to the elements, uncorrected at 1.135 eV/atom. For the mass density, the calculation gives 6.24 g/cm³. As for the density of states at the Fermi level: 6.7 states/eV/cell.

```
5
Lattice="4.0034 0.0000 0.0000 0.0000 5.4531 0.0000 0.0000 0.0000 4.0034" Properties=species:S:1:pos:R:3 pbc="T T T"
Sc 0.0000 0.0000 0.0000
Ni 2.0017 2.7265 2.0017
Au 0.0000 2.7265 0.0000
N 0.0000 0.0000 2.0017
N 2.0017 0.0000 0.0000
```

***

## ScNiAu2N (PBE)

Data for a relaxed ScNiAu2N crystal.

Properties
Its final energy is -21.50 eV per cell. As for the volume: 20.8 Å³/atom. The calculation puts the energy relative to the elements, uncorrected at 1.099 eV/atom. For the mass density, the calculation gives 8.18 g/cm³. As for the density of states at the Fermi level: 3.5 states/eV/cell.

```
5
Lattice="-0.3619 -1.1807 -4.6041 3.4179 -2.9970 0.4999 -3.1463 -3.4014 1.1196" Properties=species:S:1:pos:R:3 pbc="T T T"
Ni 0.0000 0.0000 0.0000
Sc 1.7089 -1.4985 0.2499
N -0.0452 -3.7895 -1.4923
Au -0.1810 -0.5903 -2.3021
Au -1.5732 -1.7007 0.5598
```

***

## Sr2NiAuN (PBE)

Data for a relaxed Sr2NiAuN crystal.

Properties
Its final energy is -23.85 eV per cell. As for the volume: 21.3 Å³/atom. The calculation puts the energy relative to the elements, uncorrected at -0.620 eV/atom. For the mass density, the calculation gives 6.94 g/cm³. As for the density of states at the Fermi level: 2.9 states/eV/cell.

```
5
Lattice="5.4320 0.0000 0.0000 0.0000 5.4320 0.0000 0.0000 0.0000 3.6059" Properties=species:S:1:pos:R:3 pbc="T T T"
N 0.0000 0.0000 0.0000
Sr 0.0000 2.7160 0.0000
Sr 2.7160 0.0000 0.0000
Au 2.7160 2.7160 1.8030
Ni 0.0000 0.0000 1.8030
```

***

## TcNi2AuN (PBE)

Data for a relaxed TcNi2AuN crystal.

Properties
Its final energy is -33.11 eV per cell. As for the volume: 12.2 Å³/atom. The calculation puts the energy relative to the elements, uncorrected at 0.084 eV/atom. For the mass density, the calculation gives 11.57 g/cm³. As for the density of states at the Fermi level: 7.4 states/eV/cell.

```
5
Lattice="3.9359 0.0000 0.0000 0.0000 3.9359 0.0000 0.0000 0.0000 3.9510" Properties=species:S:1:pos:R:3 pbc="T T T"
Au 1.9680 1.9680 1.9755
Tc 0.0000 0.0000 1.9755
Ni 0.0000 1.9680 0.0000
N 0.0000 0.0000 0.0000
Ni 1.9680 0.0000 0.0000
```

***

## Tc2NiAuN (PBE)

Data for a relaxed Tc2NiAuN crystal.

Properties
Its final energy is -37.45 eV per cell. As for the volume: 12.9 Å³/atom. The calculation puts the energy relative to the elements, uncorrected at 0.134 eV/atom. For the mass density, the calculation gives 11.96 g/cm³. As for the density of states at the Fermi level: 4.4 states/eV/cell.

```
5
Lattice="-2.0385 -3.4791 0.4010 3.4766 -2.0662 -0.2529 0.4098 0.2107 3.9117" Properties=species:S:1:pos:R:3 pbc="T T T"
Au 0.9240 -2.6672 2.0299
N 0.0000 0.0000 0.0000
Tc 1.7383 -1.0331 -0.1264
Ni 0.2049 0.1054 1.9558
Tc -1.0192 -1.7395 0.2005
```

***

## NiTeAuN2 (PBE)

Data for a relaxed NiTeAuN2 crystal.

Properties
Its final energy is -22.87 eV per cell. As for the volume: 16.7 Å³/atom. The calculation puts the energy relative to the elements, uncorrected at 1.197 eV/atom. For the mass density, the calculation gives 8.19 g/cm³. As for the density of states at the Fermi level: 1.6 states/eV/cell.

```
5
Lattice="3.8279 0.0000 0.0000 0.0000 3.8279 0.0000 0.0000 0.0000 5.6880" Properties=species:S:1:pos:R:3 pbc="T T T"
N 1.9140 0.0000 0.0000
N 0.0000 1.9140 0.0000
Te 0.0000 0.0000 2.8440
Ni 0.0000 0.0000 0.0000
Au 1.9140 1.9140 2.8440
```

***

## NiTeAuN2 (PBE)

Data for a relaxed NiTeAuN2 crystal.

Properties
Its final energy is -19.76 eV per cell. As for the volume: 22.4 Å³/atom. The calculation puts the energy relative to the elements, uncorrected at 1.818 eV/atom. For the mass density, the calculation gives 6.09 g/cm³. As for the density of states at the Fermi level: 7.1 states/eV/cell.

```
5
Lattice="-3.2093 2.0076 -0.2185 -1.7239 -2.5098 2.2598 2.1633 4.1379 6.2459" Properties=species:S:1:pos:R:3 pbc="T T T"
Ni -1.3850 1.8179 4.1436
Te 1.0816 2.0690 3.1230
Au 0.0000 0.0000 0.0000
N -1.6047 1.0038 -0.1093
N -0.8620 -1.2549 1.1299
```

***

## Y2NiAuN (PBE)

Data for a relaxed Y2NiAuN crystal.

Properties
Its final energy is -34.86 eV per cell. As for the volume: 17.9 Å³/atom. The calculation puts the energy relative to the elements, uncorrected at -0.909 eV/atom. For the mass density, the calculation gives 8.31 g/cm³. As for the density of states at the Fermi level: 4.2 states/eV/cell.

```
5
Lattice="4.8638 0.0000 0.0000 0.0000 4.8638 0.0000 0.0000 0.0000 3.7800" Properties=species:S:1:pos:R:3 pbc="T T T"
N 0.0000 0.0000 0.0000
Y 2.4319 0.0000 0.0000
Au 2.4319 2.4319 1.8900
Ni 0.0000 0.0000 1.8900
Y 0.0000 2.4319 0.0000
```

***

## ZnNi2AuN (PBE)

Data for a relaxed ZnNi2AuN crystal.

Properties
Its final energy is -24.26 eV per cell. As for the volume: 12.1 Å³/atom. The calculation puts the energy relative to the elements, uncorrected at 0.036 eV/atom. For the mass density, the calculation gives 10.83 g/cm³. As for the density of states at the Fermi level: 3.5 states/eV/cell.

```
5
Lattice="3.8211 0.0000 0.0000 0.0000 3.8211 0.0000 0.0000 0.0000 4.1336" Properties=species:S:1:pos:R:3 pbc="T T T"
Zn 0.0000 0.0000 2.0668
N 0.0000 0.0000 0.0000
Au 1.9106 1.9106 2.0668
Ni 1.9106 0.0000 0.0000
Ni 0.0000 1.9106 0.0000
```

***

## NpAuN2 (PBE)

Data for a relaxed NpAuN2 crystal.

Properties
Its final energy is -35.13 eV per cell. As for the volume: 16.3 Å³/atom. The calculation puts the energy relative to the elements, uncorrected at -0.564 eV/atom. For the mass density, the calculation gives 11.78 g/cm³. As for the density of states at the Fermi level: 5.5 states/eV/cell.

```
4
Lattice="-2.0795 -2.8338 0.5987 1.4411 -3.2539 0.2209 0.4974 -1.3190 6.1020" Properties=species:S:1:pos:R:3 pbc="T T T"
N -0.3927 -5.8420 2.8360
N 0.2517 -1.5647 4.0856
Np -0.0705 -3.7034 3.4608
Au 0.0000 0.0000 0.0000
```

***

## NpSbAuN (PBE)

Data for a relaxed NpSbAuN crystal.

Properties
Its final energy is -61.99 eV per cell. As for the volume: 19.6 Å³/atom. The calculation puts the energy relative to the elements, uncorrected at -0.582 eV/atom. For the mass density, the calculation gives 12.06 g/cm³. As for the density of states at the Fermi level: 16.4 states/eV/cell.

```
8
Lattice="3.9753 0.0000 0.0000 0.0000 3.9753 0.0000 0.0000 0.0000 9.9249" Properties=species:S:1:pos:R:3 pbc="T T T"
Au 0.0000 0.0000 4.9624
Au 1.9877 1.9877 4.9624
Sb 0.0000 1.9877 2.8598
N 1.9877 1.9877 0.0000
Np 1.9877 0.0000 1.0828
Np 0.0000 1.9877 8.8421
N 0.0000 0.0000 0.0000
Sb 1.9877 0.0000 7.0651
```

***

## Np2AuSe2N2 (PBE)

Data for a relaxed Np2AuSe2N2 crystal.

Properties
Its final energy is -56.95 eV per cell. As for the volume: 20.9 Å³/atom. The calculation puts the energy relative to the elements, uncorrected at -0.595 eV/atom. For the mass density, the calculation gives 9.72 g/cm³. As for the density of states at the Fermi level: 15.2 states/eV/cell.

```
7
Lattice="3.7224 0.0000 0.0000 -1.8612 3.2237 0.0000 0.0000 0.0000 12.1973" Properties=species:S:1:pos:R:3 pbc="T T T"
N 0.0000 2.1491 2.0225
Np 0.0000 2.1491 9.7328
Np 1.8612 1.0746 2.4645
Au 0.0000 0.0000 0.0000
Se 0.0000 0.0000 7.9192
Se 0.0000 0.0000 4.2781
N 1.8612 1.0746 10.1748
```

***

## Au2NO (PBE)

Data for a relaxed Au2NO crystal.

Properties
Its final energy is -14.32 eV per cell. As for the volume: 12.6 Å³/atom. The calculation puts the energy relative to the elements, uncorrected at 1.379 eV/atom. For the mass density, the calculation gives 14.01 g/cm³. As for the density of states at the Fermi level: 1.8 states/eV/cell.

```
4
Lattice="-3.3739 -0.8068 2.2631 -3.6051 -0.8080 -1.8724 -1.5663 -3.8333 0.0887" Properties=species:S:1:pos:R:3 pbc="T T T"
N 0.0000 0.0000 0.0000
Au -2.1363 -1.3620 0.1198
Au -6.4089 -4.0861 0.3595
O -4.2726 -2.7241 0.2397
```

***

## Au2NO (PBE)

Data for a relaxed Au2NO crystal.

Properties
Its final energy is -31.81 eV per cell. As for the volume: 14.1 Å³/atom. The calculation puts the energy relative to the elements, uncorrected at 0.984 eV/atom. For the mass density, the calculation gives 12.46 g/cm³. As for the density of states at the Fermi level: 2.5 states/eV/cell.

```
8
Lattice="-2.0831 4.1115 3.4392 -4.8297 0.1608 -3.1176 -4.8382 -0.2514 2.1781" Properties=species:S:1:pos:R:3 pbc="T T T"
Au -3.0759 2.4493 2.2394
Au -6.3121 1.4166 1.6953
Au -9.5862 3.5467 1.9738
O -5.1889 2.9982 2.8890
N -6.5622 1.0228 -0.3894
O 0.0000 0.0000 0.0000
Au -4.5279 0.6292 -0.9092
N -3.4564 2.1362 0.1608
```